1.
{"formula": "KPuBeO5", "functional": "PBE-GGA", "state": "optimized geometry", "lattice_angstrom": [[3.560, -4.549, 0.000], [3.560, 4.549, 0.000], [-3.454, 0.000, 7.003]], "species": ["K", "K", "Pu", "Pu", "Be", "Be", "O", "O", "O", "O", "O", "O", "O", "O", "O", "O"], "frac_coords": [[0.089, 0.911, 0.750], [0.911, 0.089, 0.250], [0.000, 0.500, 0.000], [0.500, 0.000, 0.500], [0.444, 0.556, 0.750], [0.556, 0.444, 0.250], [0.183, 0.817, 0.250], [0.239, 0.342, 0.119], [0.259, 0.601, 0.884], [0.342, 0.239, 0.619], [0.399, 0.741, 0.616], [0.601, 0.259, 0.384], [0.658, 0.761, 0.381], [0.741, 0.399, 0.116], [0.761, 0.658, 0.881], [0.817, 0.183, 0.750]], "total_magnetization_mub_per_fu": 1.00, "e_tot_ev_per_atom": -7.7252, "raw_formation_energy_ev_per_atom": -2.232, "crystal_system": "monoclinic"}

=====

2.
{"formula": "LaIrW2", "functional": "PBE-GGA", "state": "optimized geometry", "lattice_angstrom": [[-1.414, 2.467, 5.691], [1.414, -2.467, 5.691], [1.414, 2.467, -5.691]], "species": ["La", "Ir", "W", "W"], "frac_coords": [[0.000, 0.000, 0.000], [0.500, 0.500, 0.000], [0.292, 0.792, 0.500], [0.708, 0.208, 0.500]], "total_magnetization_mub_per_fu": 0.00, "de_polymorph_mev_per_atom": 179, "formation_enthalpy_0k_mev_per_atom": 394.7, "e_tot_ev_per_atom": -9.5290, "crystal_system": "orthorhombic"}

=====

3.
{"formula": "RbVTeSe2", "functional": "PBE-GGA", "state": "optimized geometry", "lattice_angstrom": [[5.838, 0.000, 0.000], [0.000, 5.838, 0.000], [0.000, 0.000, 5.219]], "species": ["Rb", "V", "Te", "Se", "Se"], "frac_coords": [[0.000, 0.000, 0.000], [0.000, 0.000, 0.500], [0.500, 0.500, 0.500], [0.000, 0.500, 0.000], [0.500, 0.000, 0.000]], "total_magnetization_mub_per_fu": 0.48, "e_tot_ev_per_atom": -2.2957, "raw_formation_energy_ev_per_atom": 1.744, "crystal_system": "tetragonal"}

=====

4.
{"formula": "Li3La", "functional": "PBE-GGA", "state": "optimized geometry", "lattice_angstrom": [[-2.027, 2.027, 12.568], [2.027, -2.027, 12.568], [2.027, 2.027, -12.568]], "species": ["Li", "Li", "Li", "Li", "Li", "Li", "La", "La"], "frac_coords": [[0.000, 0.500, 0.500], [0.171, 0.171, 0.000], [0.250, 0.750, 0.500], [0.500, 0.000, 0.500], [0.750, 0.250, 0.500], [0.829, 0.829, 0.000], [0.387, 0.387, 0.000], [0.613, 0.613, 0.000]], "total_magnetization_mub_per_fu": 0.33, "de_polymorph_mev_per_atom": 184, "formation_enthalpy_0k_mev_per_atom": 218.1, "e_tot_ev_per_atom": -2.4492, "crystal_system": "tetragonal"}

=====

5.
{"formula": "La2Cu3Pt", "functional": "PBE-GGA", "state": "optimized geometry", "lattice_angstrom": [[0.000, 4.382, 7.566], [3.864, 0.000, 7.566], [3.864, 4.382, 0.000]], "species": ["La", "La", "La", "La", "Cu", "Cu", "Cu", "Cu", "Cu", "Cu", "Pt", "Pt"], "frac_coords": [[0.246, 0.754, 0.754], [0.250, 0.250, 0.250], [0.750, 0.750, 0.750], [0.754, 0.246, 0.246], [0.176, 0.662, 0.338], [0.337, 0.337, 0.663], [0.338, 0.824, 0.176], [0.662, 0.176, 0.824], [0.663, 0.663, 0.337], [0.824, 0.338, 0.662], [0.166, 0.166, 0.834], [0.834, 0.834, 0.166]], "total_magnetization_mub_per_fu": 0.00, "formation_enthalpy_0k_mev_per_atom": -502.1, "e_tot_ev_per_atom": -5.1994, "crystal_system": "orthorhombic"}

=====

6.
{"formula": "LuMg2Zn", "functional": "PBE-GGA", "state": "optimized geometry", "lattice_angstrom": [[0.000, 3.495, 3.495], [3.495, 0.000, 3.495], [3.495, 3.495, 0.000]], "species": ["Lu", "Mg", "Mg", "Zn"], "frac_coords": [[0.000, 0.000, 0.000], [0.250, 0.250, 0.250], [0.750, 0.750, 0.750], [0.500, 0.500, 0.500]], "total_magnetization_mub_per_fu": 0.00, "de_polymorph_mev_per_atom": 110, "formation_enthalpy_0k_mev_per_atom": 3.3, "e_tot_ev_per_atom": -2.2428, "crystal_system": "cubic"}

=====

7.
{"formula": "MnNbGe2N", "functional": "PBE-GGA", "state": "optimized geometry", "lattice_angstrom": [[4.359, 0.000, 0.000], [0.000, 4.359, 0.000], [0.000, 0.000, 4.584]], "species": ["Mn", "Nb", "Ge", "Ge", "N"], "frac_coords": [[0.000, 0.000, 0.000], [0.000, 0.000, 0.500], [0.000, 0.500, 0.000], [0.500, 0.000, 0.000], [0.500, 0.500, 0.500]], "total_magnetization_mub_per_fu": 0.00, "e_tot_ev_per_atom": -6.2200, "raw_formation_energy_ev_per_atom": 1.140, "crystal_system": "tetragonal"}

=====

8.
{"formula": "Ce2NiGe", "functional": "PBE-GGA", "state": "optimized geometry", "lattice_angstrom": [[5.962, 0.000, 0.000], [0.000, 4.008, 0.000], [-2.901, 0.000, 7.535]], "species": ["Ce", "Ce", "Ce", "Ce", "Ni", "Ni", "Ge", "Ge"], "frac_coords": [[0.217, 0.250, 0.401], [0.219, 0.250, 0.949], [0.781, 0.750, 0.051], [0.783, 0.750, 0.599], [0.386, 0.750, 0.219], [0.614, 0.250, 0.781], [0.336, 0.750, 0.704], [0.664, 0.250, 0.296]], "total_magnetization_mub_per_fu": 1.11, "formation_enthalpy_0k_mev_per_atom": -535.9, "e_tot_ev_per_atom": -6.1025, "crystal_system": "monoclinic"}

=====

Calculated density: 5.4, 14.6, 3.9, 2.6, 8.6, 5.6, 5.9, 7.6 (g/cm3)